(1)
AlZnO2: optimized geometry, PBE.

Cell and atoms, written as CIF:
```
data_AlZnO2
_chemical_formula_sum 'Al1 Zn1 O2'
_space_group_name_H-M_alt 'P 1'
_space_group_IT_number 1
_cell_length_a 5.9098
_cell_length_b 5.9098
_cell_length_c 5.9098
_cell_angle_alpha 30.86
_cell_angle_beta 30.86
_cell_angle_gamma 30.86
loop_
_space_group_symop_operation_xyz
'x,y,z'
loop_
_atom_site_label
_atom_site_type_symbol
_atom_site_fract_x
_atom_site_fract_y
_atom_site_fract_z
_atom_site_occupancy
Zn1 Zn 0.5000 0.5000 0.5000 1
Al1 Al 0.0000 0.0000 0.0000 1
O1 O 0.8979 0.8979 0.8979 1
O2 O 0.1021 0.1021 0.1021 1
```

Results
D(E_F), states/eV per atom: 0.309
Relative energy among the computed polymorphs, kJ/mol of formula units: 233
Total energy, eV for the cell shown: -20.6

=====

(2)
Al2ZnO4: optimized geometry, PBE.

Cell and atoms, written as CIF:
```
data_Al2ZnO4
_chemical_formula_sum 'Al8 Zn4 O16'
_space_group_name_H-M_alt 'P 1'
_space_group_IT_number 1
_cell_length_a 2.8623
_cell_length_b 9.6930
_cell_length_c 9.8255
_cell_angle_alpha 90.00
_cell_angle_beta 90.00
_cell_angle_gamma 90.00
loop_
_space_group_symop_operation_xyz
'x,y,z'
loop_
_atom_site_label
_atom_site_type_symbol
_atom_site_fract_x
_atom_site_fract_y
_atom_site_fract_z
_atom_site_occupancy
Al1 Al 0.2500 0.3451 0.7825 1
Al2 Al 0.2500 0.3987 0.4101 1
Al3 Al 0.7500 0.1013 0.9101 1
Al4 Al 0.7500 0.1549 0.2825 1
Al5 Al 0.2500 0.8451 0.7175 1
Al6 Al 0.2500 0.8987 0.0899 1
Al7 Al 0.7500 0.6013 0.5899 1
Al8 Al 0.7500 0.6549 0.2175 1
Zn1 Zn 0.2500 0.3737 0.0663 1
Zn2 Zn 0.7500 0.1263 0.5663 1
Zn3 Zn 0.2500 0.8737 0.4337 1
Zn4 Zn 0.7500 0.6263 0.9337 1
O1 O 0.2500 0.4703 0.6216 1
O2 O 0.2500 0.5605 0.1250 1
O3 O 0.7500 0.2227 0.7386 1
O4 O 0.2500 0.2173 0.9491 1
O5 O 0.7500 0.2827 0.4491 1
O6 O 0.2500 0.2773 0.2386 1
O7 O 0.7500 0.9395 0.6250 1
O8 O 0.7500 0.0297 0.1216 1
O9 O 0.2500 0.9703 0.8784 1
O10 O 0.2500 0.0605 0.3750 1
O11 O 0.7500 0.7227 0.7614 1
O12 O 0.2500 0.7173 0.5509 1
O13 O 0.7500 0.7827 0.0509 1
O14 O 0.2500 0.7773 0.2614 1
O15 O 0.7500 0.4395 0.8750 1
O16 O 0.7500 0.5297 0.3784 1
```

Results
D(E_F), states/eV per atom: 0.000
Total energy, eV for the cell shown: -182.4